VASP calculation (PBE) on a relaxed structure of Sc2CoOs3.

## Properties
Formation energy ... -0.3722 eV per atom

Lattice parameters (Å, degrees): 5.1486 5.1486 5.1270 90.06 120.13 119.95
Sites, in units of the cell vectors:
1 Os 0.5000 0.0000 0.5000
2 Os 0.5000 0.5000 0.5000
3 Os 0.0000 0.0000 0.5000
4 Sc 0.2485 0.6244 0.8729
5 Co 0.0000 0.0000 0.0000
6 Sc 0.7515 0.3756 0.1271